# Tb2Dy4Ho3, optimized geometry, DFT PBE
# **Energy of formation from the pure elements**: 0.098 eV per atom
# **Symmetry**: C2/c
# **Magnetic moment**: 0.0 Bohr magnetons per cell
data_Tb2Dy4Ho3
_chemical_formula_sum 'Tb4 Dy8 Ho6'
_cell_length_a 6.095
_cell_length_b 11.176
_cell_length_c 11.176
_cell_angle_alpha 62.02
_cell_angle_beta 61.83
_cell_angle_gamma 61.83
_symmetry_space_group_name_H-M 'P 1'
_symmetry_Int_Tables_number 1
_symmetry_space_group_name_Hall 'P 1'
loop_
_atom_site_label
_atom_site_type_symbol
_atom_site_fract_x
_atom_site_fract_y
_atom_site_fract_z
_atom_site_occupancy
Tb1 Tb 0.421 0.237 0.522 1
Tb2 Tb 0.079 0.478 0.763 1
Tb3 Tb 0.579 0.763 0.478 1
Tb4 Tb 0.921 0.522 0.237 1
Dy1 Dy 0.421 0.904 0.188 1
Dy2 Dy 0.079 0.812 0.096 1
Dy3 Dy 0.579 0.096 0.812 1
Dy4 Dy 0.921 0.188 0.904 1
Dy5 Dy 0.080 0.145 0.428 1
Dy6 Dy 0.420 0.572 0.855 1
Dy7 Dy 0.920 0.855 0.572 1
Dy8 Dy 0.580 0.428 0.145 1
Ho1 Ho 0.753 0.070 0.263 1
Ho2 Ho 0.747 0.737 0.930 1
Ho3 Ho 0.247 0.930 0.737 1
Ho4 Ho 0.253 0.263 0.070 1
Ho5 Ho 0.250 0.597 0.403 1
Ho6 Ho 0.750 0.403 0.597 1